This record from Alexandria via LeMat-Bulk describes a relaxed TaZnSnO6 crystal. The functional is PBE-GGA.

abc: 4.811 4.811 9.472
angles: 90.00 90.00 90.00
Sites, in units of the cell vectors:
1 Ta 0.000 0.000 0.000
2 Ta 0.500 0.500 0.500
3 Zn 0.000 0.000 0.332
4 Zn 0.500 0.500 0.832
5 Sn 0.000 0.000 0.663
6 Sn 0.500 0.500 0.163
7 O 0.191 0.191 0.837
8 O 0.196 0.196 0.154
9 O 0.204 0.204 0.500
10 O 0.296 0.704 0.000
11 O 0.304 0.696 0.654
12 O 0.309 0.691 0.337
13 O 0.691 0.309 0.337
14 O 0.696 0.304 0.654
15 O 0.704 0.296 0.000
16 O 0.796 0.796 0.500
17 O 0.804 0.804 0.154
18 O 0.809 0.809 0.837

Results
- Raw total energy: -126.6 eV/cell
- Space group: P4_2nm (102)
- Density: 6.98 g/cm3
- Total magnetic moment: 0.098 μB/atom

---

This record from Alexandria via LeMat-Bulk describes a relaxed Tb4Sn2O crystal. The functional is PBE-GGA.

abc: 9.025 9.025 9.025
angles: 150.50 150.50 42.20
Sites, in units of the cell vectors:
1 Tb 0.000 0.500 0.500
2 Tb 0.174 0.174 0.000
3 Tb 0.500 0.000 0.500
4 Tb 0.826 0.826 0.000
5 Sn 0.361 0.361 0.000
6 Sn 0.639 0.639 0.000
7 O 0.000 0.000 0.000

Results
- Raw total energy: -40.6 eV/cell
- Space group: I4/mmm (139)
- Polymorph energy (0 for the lowest one): 7.8 kJ/mol of formula units
- Density: 8.31 g/cm3
- Total magnetic moment: 0.031 μB/atom

---

This record from Alexandria via LeMat-Bulk describes a relaxed Tb3Sn5O12 crystal. The functional is PBE-GGA.

abc: 11.576 11.576 11.576
angles: 109.47 109.47 109.47
Sites, in units of the cell vectors:
1 Tb 0.125 0.250 0.375
2 Tb 0.125 0.375 0.750
3 Tb 0.250 0.375 0.125
4 Tb 0.250 0.875 0.625
5 Tb 0.375 0.125 0.250
6 Tb 0.375 0.750 0.125
7 Tb 0.625 0.250 0.875
8 Tb 0.625 0.875 0.750
9 Tb 0.750 0.125 0.375
10 Tb 0.750 0.625 0.875
11 Tb 0.875 0.625 0.250
12 Tb 0.875 0.750 0.625
13 Sn 0.000 0.000 0.000
14 Sn 0.000 0.000 0.500
15 Sn 0.000 0.500 0.000
16 Sn 0.000 0.500 0.500
17 Sn 0.125 0.750 0.875
18 Sn 0.125 0.875 0.250
19 Sn 0.250 0.125 0.875
20 Sn 0.250 0.625 0.375
21 Sn 0.375 0.250 0.625
22 Sn 0.375 0.625 0.750
23 Sn 0.500 0.000 0.000
24 Sn 0.500 0.000 0.500
25 Sn 0.500 0.500 0.000
26 Sn 0.500 0.500 0.500
27 Sn 0.625 0.375 0.250
28 Sn 0.625 0.750 0.375
29 Sn 0.750 0.375 0.625
30 Sn 0.750 0.875 0.125
31 Sn 0.875 0.125 0.750
32 Sn 0.875 0.250 0.125
33 O 0.046 0.209 0.130
34 O 0.046 0.336 0.915
35 O 0.079 0.709 0.664
36 O 0.079 0.870 0.415
37 O 0.085 0.630 0.421
38 O 0.085 0.954 0.664
39 O 0.130 0.046 0.209
40 O 0.130 0.585 0.921
41 O 0.164 0.209 0.579
42 O 0.164 0.454 0.585
43 O 0.209 0.130 0.046
44 O 0.209 0.579 0.164
45 O 0.291 0.336 0.921
46 O 0.291 0.454 0.370
47 O 0.336 0.915 0.046
48 O 0.336 0.921 0.291
49 O 0.370 0.291 0.454
50 O 0.370 0.579 0.915
51 O 0.415 0.079 0.870
52 O 0.415 0.836 0.546
53 O 0.421 0.085 0.630
54 O 0.421 0.836 0.791
55 O 0.454 0.370 0.291
56 O 0.454 0.585 0.164
57 O 0.546 0.415 0.836
58 O 0.546 0.630 0.709
59 O 0.579 0.164 0.209
60 O 0.579 0.915 0.370
61 O 0.585 0.164 0.454
62 O 0.585 0.921 0.130
63 O 0.630 0.421 0.085
64 O 0.630 0.709 0.546
65 O 0.664 0.079 0.709
66 O 0.664 0.085 0.954
67 O 0.709 0.546 0.630
68 O 0.709 0.664 0.079
69 O 0.791 0.421 0.836
70 O 0.791 0.870 0.954
71 O 0.836 0.546 0.415
72 O 0.836 0.791 0.421
73 O 0.870 0.415 0.079
74 O 0.870 0.954 0.791
75 O 0.915 0.046 0.336
76 O 0.915 0.370 0.579
77 O 0.921 0.130 0.585
78 O 0.921 0.291 0.336
79 O 0.954 0.664 0.085
80 O 0.954 0.791 0.870

Results
- Raw total energy: -533.9 eV/cell
- Space group: Ia-3d (230)
- Density: 7.02 g/cm3
- Total magnetic moment: 0.000 μB/atom

---

This record from Alexandria via LeMat-Bulk describes a relaxed Tb2SnO5 crystal. The functional is PBE-GGA.

abc: 7.563 3.764 15.859
angles: 90.00 90.00 90.00
Sites, in units of the cell vectors:
1 Tb 0.099 0.250 0.088
2 Tb 0.133 0.250 0.741
3 Tb 0.367 0.750 0.241
4 Tb 0.401 0.750 0.588
5 Tb 0.599 0.250 0.412
6 Tb 0.633 0.250 0.759
7 Tb 0.867 0.750 0.259
8 Tb 0.901 0.750 0.912
9 Sn 0.126 0.250 0.428
10 Sn 0.374 0.750 0.928
11 Sn 0.626 0.250 0.072
12 Sn 0.874 0.750 0.572
13 O 0.088 0.750 0.654
14 O 0.093 0.750 0.468
15 O 0.106 0.750 0.179
16 O 0.142 0.750 0.003
17 O 0.193 0.750 0.830
18 O 0.307 0.250 0.330
19 O 0.358 0.250 0.503
20 O 0.394 0.250 0.679
21 O 0.407 0.250 0.968
22 O 0.412 0.250 0.154
23 O 0.588 0.750 0.846
24 O 0.593 0.750 0.032
25 O 0.606 0.750 0.321
26 O 0.642 0.750 0.497
27 O 0.693 0.750 0.670
28 O 0.807 0.250 0.170
29 O 0.858 0.250 0.997
30 O 0.894 0.250 0.821
31 O 0.907 0.250 0.532
32 O 0.912 0.250 0.346

Results
- Raw total energy: -243.2 eV/cell
- Space group: Pnma (62)
- Density: 7.60 g/cm3
- Total magnetic moment: 0.000 μB/atom

---

This record from Alexandria via LeMat-Bulk describes a relaxed Tb2SnO crystal. The functional is PBE-GGA.

abc: 7.879 7.879 7.879
angles: 26.18 26.18 26.18
Sites, in units of the cell vectors:
1 Tb 0.224 0.224 0.224
2 Tb 0.776 0.776 0.776
3 Sn 0.000 0.000 0.000
4 O 0.500 0.500 0.500

Results
- Raw total energy: -24.9 eV/cell
- Space group: R-3m (166)
- Polymorph energy (0 for the lowest one): 82.9 kJ/mol of formula units
- Density: 8.96 g/cm3
- Total magnetic moment: 0.000 μB/atom

---

This record from Alexandria via LeMat-Bulk describes a relaxed TbSnO crystal. The functional is PBE-GGA.

abc: 3.722 3.722 6.008
angles: 90.00 90.00 120.00
Sites, in units of the cell vectors:
1 Tb 0.000 0.000 0.000
2 Sn 0.333 0.667 0.500
3 O 0.667 0.333 0.000

Results
- Raw total energy: -18.9 eV/cell
- Space group: P-6m2 (187)
- Density: 6.77 g/cm3
- Total magnetic moment: 0.146 μB/atom

---

This record from Alexandria via LeMat-Bulk describes a relaxed Tb3Sn2O crystal. The functional is PBE-GGA.

abc: 6.788 6.788 6.536
angles: 90.00 90.00 78.64
Sites, in units of the cell vectors:
1 Tb 0.161 0.839 0.750
2 Tb 0.340 0.340 0.000
3 Tb 0.340 0.340 0.500
4 Tb 0.660 0.660 0.000
5 Tb 0.660 0.660 0.500
6 Tb 0.839 0.161 0.250
7 Sn 0.046 0.672 0.250
8 Sn 0.328 0.954 0.250
9 Sn 0.672 0.046 0.750
10 Sn 0.954 0.328 0.750
11 O 0.424 0.576 0.750
12 O 0.576 0.424 0.250

Results
- Raw total energy: -69.9 eV/cell
- Space group: Cmcm (63)
- Density: 8.21 g/cm3
- Total magnetic moment: 0.000 μB/atom

---

This record from Alexandria via LeMat-Bulk describes a relaxed Tb2SnO crystal. The functional is PBE-GGA.

abc: 3.159 3.159 7.787
angles: 90.00 90.00 90.00
Sites, in units of the cell vectors:
1 Tb 0.000 0.000 0.199
2 Tb 0.000 0.000 0.801
3 Sn 0.500 0.500 0.500
4 O 0.500 0.500 0.000

Results
- Raw total energy: -23.2 eV/cell
- Space group: P4/mmm (123)
- Polymorph energy (0 for the lowest one): 249.3 kJ/mol of formula units
- Density: 9.67 g/cm3
- Total magnetic moment: 0.000 μB/atom